DFT (PBE) results for an optimized crystal structure of YSc2.

Results
The calculation puts the calculated density at 3.69 g/cm³. As for the density of states at the Fermi level: 5.96 states/eV/f.u. The value obtained for the volume is 160.80 Å³/cell. Its formation energy is 0.09 eV per atom. The calculation puts the energy above the most stable polymorph in this dataset at 63 meV per atom.

Geometry as CIF:
```
data_YSc2
_symmetry_space_group_name_H-M 'P 63/m m c'
_symmetry_Int_Tables_number 194
_symmetry_space_group_name_Hall '-P 6c 2c'
_cell_length_a 5.2920
_cell_length_b 5.2920
_cell_length_c 6.6300
_cell_angle_alpha 90.00
_cell_angle_beta 90.00
_cell_angle_gamma 120.00
loop_
_atom_site_label
_atom_site_type_symbol
_atom_site_fract_x
_atom_site_fract_y
_atom_site_fract_z
Y1 Y 0.3333 0.6667 0.2500
Sc1 Sc 0.0000 0.0000 0.0000
Sc2 Sc 0.3333 0.6667 0.7500
```